Entry a
# ZnTeHN2

An optimized crystal structure of ZnTeHN2 (GGA-PBE, Alexandria via LeMat-Bulk).

```
ZnTeHN2
1.0
-3.1228 2.0860 0.4402
-1.4783 -1.5563 -3.1128
-2.5673 -4.5844 3.5114
H Zn N Te
1 1 2 1
Direct
0.5000 0.5000 0.5000
0.0000 0.0000 0.0000
0.0000 0.5000 0.0000
0.5000 0.0000 0.0000
0.0000 0.0000 0.5000
```

density of states at the Fermi level	0.457	states/eV/atom
crystal system	tetragonal
SG	P4/mmm, No. 123

***

Entry b
# ZnTeHN2

An optimized crystal structure of ZnTeHN2 (GGA-PBE, Alexandria via LeMat-Bulk).

```
ZnTeHN2
1.0
4.1628 0.0000 0.0000
0.0000 4.1628 0.0000
0.0000 0.0000 3.4607
Te N H Zn
1 2 1 1
Direct
0.0000 0.0000 0.5000
0.5000 0.0000 0.0000
0.0000 0.5000 0.0000
0.0000 0.0000 0.0000
0.5000 0.5000 0.5000
```

density of states at the Fermi level	0.449	states/eV/atom
crystal system	tetragonal
SG	P4/mmm, No. 123

***

entry a wins, 0.044 eV/atom ahead of the next structure.

***

Entry a
# ZnTe2HN

An optimized crystal structure of ZnTe2HN (GGA-PBE, Alexandria via LeMat-Bulk).

```
ZnTe2HN
1.0
-3.1849 4.5669 -0.8235
-4.5964 -3.2420 -0.2027
-0.4006 0.3499 3.4898
H Zn N Te
1 1 1 2
Direct
0.5000 0.5000 0.5000
0.0000 0.0000 0.0000
0.0000 0.0000 0.5000
0.0000 0.5000 0.0000
0.5000 0.0000 0.0000
```

density of states at the Fermi level	1.029	states/eV/atom
crystal system	tetragonal
SG	P4/mmm, No. 123

***

Entry b
# ZnTe2HN

An optimized crystal structure of ZnTe2HN (GGA-PBE, Alexandria via LeMat-Bulk).

```
ZnTe2HN
1.0
-2.2613 2.5308 4.0618
-1.5674 -4.6363 2.0162
2.5022 -0.1889 1.5108
Te H Zn N
2 1 1 1
Direct
0.5000 0.0000 0.0000
0.0000 0.5000 0.0000
0.0000 0.0000 0.0000
0.5000 0.5000 0.5000
0.0000 0.0000 0.5000
```

density of states at the Fermi level	0.550	states/eV/atom
crystal system	tetragonal
SG	P4/mmm, No. 123

***

entry b wins, 0.350 eV/atom ahead of the next structure.

***

Entry a
# ZrTe2HN

An optimized crystal structure of ZrTe2HN (GGA-PBE, Alexandria via LeMat-Bulk).

```
ZrTe2HN
1.0
-2.0054 5.5121 0.2517
-5.3739 -1.8902 -1.4203
-0.8513 -0.4864 3.8683
Te H Zr N
2 1 1 1
Direct
0.5000 0.0000 0.0000
0.0000 0.5000 0.0000
0.5000 0.5000 0.5000
0.0000 0.0000 0.0000
0.0000 0.0000 0.5000
```

density of states at the Fermi level	1.109	states/eV/atom
crystal system	tetragonal
SG	P4/mmm, No. 123

***

Entry b
# ZrTe2HN

An optimized crystal structure of ZrTe2HN (GGA-PBE, Alexandria via LeMat-Bulk).

```
ZrTe2HN
1.0
5.3612 0.0000 0.0000
0.0000 5.3612 0.0000
0.0000 0.0000 2.9555
Te H Zr N
2 1 1 1
Direct
0.5000 0.0000 0.0000
0.0000 0.5000 0.0000
0.0000 0.0000 0.0000
0.5000 0.5000 0.5000
0.0000 0.0000 0.5000
```

density of states at the Fermi level	0.654	states/eV/atom
crystal system	tetragonal
SG	P4/mmm, No. 123

***

entry a wins, 0.120 eV/atom ahead of the next structure.